Computed, not measured: B2HPd6 after structural relaxation at the PBE level of DFT.

a = 5.667 Å, b = 8.713 Å, c = 9.007 Å
α = 90.00°, β = 90.00°, γ = 90.00°
Space group Immm (No. 71)
Inequivalent atoms, fractional coordinates:
1 B 0.000 0.000 0.161 [4 per cell]
2 B 0.000 0.349 0.000 [4 per cell]
3 H 0.000 0.000 0.500 [2 per cell]
4 H 0.000 0.500 0.500 [2 per cell]
5 Pd 0.000 0.242 0.246 [8 per cell]
6 Pd 0.244 0.500 0.148 [8 per cell]
7 Pd 0.248 0.155 0.000 [8 per cell]

spin magnetization: 0.0 μB/cell
distance to the lowest polymorph of the same formula: 95 meV per atom